(1)
# Fe2Ir2Rh15 (PBE, relaxed)
# DFT total energy = -7.226 eV per atom
# formation enthalpy at 0 K = 402 meV/atom
data_Fe2Ir2Rh15
_chemical_formula_sum 'Fe6 Ir6 Rh45'
_symmetry_space_group_name_H-M 'R -3 m'
_symmetry_Int_Tables_number 166
_symmetry_space_group_name_Hall '-R 3 2"'
_cell_length_a 8.7778
_cell_length_b 8.7778
_cell_length_c 13.3977
_cell_angle_alpha 90.00
_cell_angle_beta 90.00
_cell_angle_gamma 120.00
loop_
_atom_site_label
_atom_site_type_symbol
_atom_site_fract_x
_atom_site_fract_y
_atom_site_fract_z
Fe1 Fe 0.0000 0.0000 0.2121
Ir1 Ir 0.0000 0.0000 0.4064
Rh1 Rh 0.0000 0.3093 0.5000
Rh2 Rh 0.0000 0.5000 0.0000
Rh3 Rh 0.0019 0.5010 0.6525

---

(2)
# La3HgSb (PBE, relaxed)
# DFT total energy = -3.945 eV per atom
# formation energy (no corrections) = -0.1037 eV per atom
# distance to the lowest polymorph of the same formula = 0.0 kJ per mole of atoms
data_La3HgSb
_chemical_formula_sum 'La3 Hg1 Sb1'
_symmetry_space_group_name_H-M 'P m -3 m'
_symmetry_Int_Tables_number 221
_symmetry_space_group_name_Hall '-P 4 2 3'
_cell_length_a 6.004
_cell_length_b 6.004
_cell_length_c 6.004
_cell_angle_alpha 90.00
_cell_angle_beta 90.00
_cell_angle_gamma 90.00
loop_
_atom_site_label
_atom_site_type_symbol
_atom_site_fract_x
_atom_site_fract_y
_atom_site_fract_z
La1 La 0.000 0.000 0.500
Hg1 Hg 0.500 0.500 0.500
Sb1 Sb 0.000 0.000 0.000

---

(3)
# CaGeCl2 (PBE, relaxed)
# DFT total energy = -3.528 eV per atom
# formation energy (no corrections) = -0.9502 eV per atom
# distance to the lowest polymorph of the same formula = 0.0 kJ per mole of atoms
data_CaGeCl2
_chemical_formula_sum 'Ca4 Ge4 Cl8'
_symmetry_space_group_name_H-M 'I -4 2 d'
_symmetry_Int_Tables_number 122
_symmetry_space_group_name_Hall 'I -4 2bw'
_cell_length_a 7.793
_cell_length_b 7.793
_cell_length_c 6.709
_cell_angle_alpha 90.00
_cell_angle_beta 90.00
_cell_angle_gamma 90.00
loop_
_atom_site_label
_atom_site_type_symbol
_atom_site_fract_x
_atom_site_fract_y
_atom_site_fract_z
Ca1 Ca 0.000 0.000 0.000
Ge1 Ge 0.000 0.000 0.500
Cl1 Cl 0.233 0.750 0.125